Record 1
Density functional theory data (PBE) for a relaxed structure of MgReNi.

Computed properties:
Energy above the lowest structure with this stoichiometry ... 515 meV/atom
Formation enthalpy at 0 K ... 0.62 eV per atom
Energy ... -0.4403 Ry/atom

Geometry as CIF:
```
data_MgReNi
_chemical_formula_sum 'Mg4 Re4 Ni4'
_cell_length_a 5.771
_cell_length_b 5.771
_cell_length_c 5.771
_cell_angle_alpha 90.00
_cell_angle_beta 90.00
_cell_angle_gamma 90.00
_symmetry_space_group_name_H-M 'F -4 3 m'
_symmetry_Int_Tables_number 216
_symmetry_space_group_name_Hall 'F -4 2 3'
loop_
_atom_site_label
_atom_site_type_symbol
_atom_site_fract_x
_atom_site_fract_y
_atom_site_fract_z
Mg1 Mg 0.000 0.000 0.000
Re1 Re 0.000 0.000 0.500
Ni1 Ni 0.250 0.250 0.750
```



Record 2
Density functional theory data (PBE) for a relaxed structure of NaBOF2.

Computed properties:
Energy above the lowest structure with this stoichiometry ... 0 meV/atom
Energy ... -0.4469 Ry/atom

Geometry as CIF:
```
data_NaBOF2
_chemical_formula_sum 'Na12 B12 O12 F24'
_cell_length_a 11.987
_cell_length_b 6.978
_cell_length_c 9.452
_cell_angle_alpha 90.00
_cell_angle_beta 113.65
_cell_angle_gamma 90.00
_symmetry_space_group_name_H-M 'C 1 2/c 1'
_symmetry_Int_Tables_number 15
loop_
_symmetry_equiv_pos_as_xyz
'x,y,z'
'-x,-y,-z'
'-x,y,-z+1/2'
'x,-y,z+1/2'
'x+1/2,y+1/2,z'
'-x+1/2,-y+1/2,-z'
'-x+1/2,y+1/2,-z+1/2'
'x+1/2,-y+1/2,z+1/2'
loop_
_atom_site_label
_atom_site_type_symbol
_atom_site_fract_x
_atom_site_fract_y
_atom_site_fract_z
Na1 Na 0.093 0.223 0.498
Na2 Na 0.250 0.250 0.000
B1 B 0.000 0.212 0.750
B2 B 0.104 0.475 0.246
O1 O 0.000 0.378 0.250
O2 O 0.100 0.319 0.744
F1 F 0.046 0.082 0.885
F2 F 0.127 0.407 0.114
F3 F 0.213 0.414 0.384
```



Record 3
Density functional theory data (PBE) for a relaxed structure of Ho6CuTe3S2.

Computed properties:
Energy ... -0.4004 Ry/atom

Geometry as CIF:
```
data_Ho6CuTe3S2
_chemical_formula_sum 'Ho12 Cu2 Te6 S4'
_cell_length_a 7.096
_cell_length_b 12.280
_cell_length_c 7.343
_cell_angle_alpha 90.00
_cell_angle_beta 108.82
_cell_angle_gamma 90.00
_symmetry_space_group_name_H-M 'C 1 2/m 1'
_symmetry_Int_Tables_number 12
loop_
_symmetry_equiv_pos_as_xyz
'x,y,z'
'-x,-y,-z'
'-x,y,-z'
'x,-y,z'
'x+1/2,y+1/2,z'
'-x+1/2,-y+1/2,-z'
'-x+1/2,y+1/2,-z'
'x+1/2,-y+1/2,z'
loop_
_atom_site_label
_atom_site_type_symbol
_atom_site_fract_x
_atom_site_fract_y
_atom_site_fract_z
Ho1 Ho 0.234 0.164 0.212
Ho2 Ho 0.243 0.500 0.214
Cu1 Cu 0.000 0.000 0.000
Te1 Te 0.000 0.170 0.500
Te2 Te 0.000 0.500 0.500
S1 S 0.000 0.334 0.000
```



Record 4
Density functional theory data (PBE) for a relaxed structure of LaPmCdSb.

Computed properties:
Energy ... -0.3157 Ry/atom

Geometry as CIF:
```
data_LaPmCdSb
_chemical_formula_sum 'La4 Pm4 Cd4 Sb4'
_cell_length_a 7.758
_cell_length_b 7.758
_cell_length_c 7.758
_cell_angle_alpha 90.00
_cell_angle_beta 90.00
_cell_angle_gamma 90.00
_symmetry_space_group_name_H-M 'F -4 3 m'
_symmetry_Int_Tables_number 216
_symmetry_space_group_name_Hall 'F -4 2 3'
loop_
_atom_site_label
_atom_site_type_symbol
_atom_site_fract_x
_atom_site_fract_y
_atom_site_fract_z
La1 La 0.000 0.000 0.000
Pm1 Pm 0.000 0.000 0.500
Cd1 Cd 0.250 0.250 0.750
Sb1 Sb 0.250 0.250 0.250
```



Record 5
Density functional theory data (PBE) for a relaxed structure of NaTl2Au2.

Computed properties:
Energy above the lowest structure with this stoichiometry ... 52 meV/atom
Formation enthalpy at 0 K ... -0.09 eV per atom
Energy ... -0.1920 Ry/atom

Geometry as CIF:
```
data_NaTl2Au2
_chemical_formula_sum 'Na2 Tl4 Au4'
_cell_length_a 4.713
_cell_length_b 4.713
_cell_length_c 12.462
_cell_angle_alpha 90.00
_cell_angle_beta 90.00
_cell_angle_gamma 90.00
_symmetry_space_group_name_H-M 'I 4/m m m'
_symmetry_Int_Tables_number 139
_symmetry_space_group_name_Hall '-I 4 2'
loop_
_atom_site_label
_atom_site_type_symbol
_atom_site_fract_x
_atom_site_fract_y
_atom_site_fract_z
Na1 Na 0.000 0.000 0.000
Tl1 Tl 0.000 0.500 0.250
Au1 Au 0.000 0.000 0.393
```



Record 6
Density functional theory data (PBE) for a relaxed structure of Sc2CdRh.

Computed properties:
Formation enthalpy at 0 K ... -0.19 eV per atom
Energy ... -0.3987 Ry/atom

Geometry as CIF:
```
data_Sc2CdRh
_chemical_formula_sum 'Sc6 Cd3 Rh3'
_cell_length_a 3.4805
_cell_length_b 3.4805
_cell_length_c 28.3137
_cell_angle_alpha 90.00
_cell_angle_beta 90.00
_cell_angle_gamma 120.00
_symmetry_space_group_name_H-M 'R -3 m'
_symmetry_Int_Tables_number 166
_symmetry_space_group_name_Hall '-R 3 2"'
loop_
_atom_site_label
_atom_site_type_symbol
_atom_site_fract_x
_atom_site_fract_y
_atom_site_fract_z
Sc1 Sc 0.0000 0.0000 0.1089
Cd1 Cd 0.0000 0.0000 0.0000
Rh1 Rh 0.0000 0.0000 0.5000
```